No. 1
# Li4CdAg15

Crystalline Li4CdAg15 at its relaxed geometry (PBE, the Alexandria database).

Structure (POSCAR):
```
Li4CdAg15
1.0
4.161 0.000 0.000
0.000 4.161 0.000
0.000 0.000 20.100
Li Ag Cd
4 15 1
Direct
0.000 0.000 0.205 Li
0.000 0.000 0.599 Li
0.000 0.000 0.795 Li
0.000 0.000 0.401 Li
0.500 0.000 0.500 Ag
0.500 0.000 0.304 Ag
0.000 0.500 0.696 Ag
0.500 0.500 0.795 Ag
0.000 0.500 0.894 Ag
0.500 0.000 0.696 Ag
0.000 0.500 0.304 Ag
0.500 0.500 0.205 Ag
0.000 0.500 0.106 Ag
0.500 0.500 0.598 Ag
0.500 0.500 0.402 Ag
0.500 0.500 0.000 Ag
0.500 0.000 0.106 Ag
0.500 0.000 0.894 Ag
0.000 0.500 0.500 Ag
0.000 0.000 0.000 Cd
```

Its crystal system is tetragonal. The density of states at the Fermi level comes out at 6.08 states/eV/cell. The uncorrected energy is -53.3 eV/f.u. The symmetry is P4/mmm, No. 123.


No. 2
# Li4Cd3Ag3

Crystalline Li4Cd3Ag3 at its relaxed geometry (PBE, the Alexandria database).

Structure (POSCAR):
```
Li4Cd3Ag3
1.0
7.568 0.000 -2.676
-3.784 6.554 -2.676
0.000 0.000 8.027
Cd Li Ag
6 8 6
Direct
0.125 0.375 0.250 Cd
0.875 0.250 0.625 Cd
0.375 0.125 0.750 Cd
0.250 0.875 0.125 Cd
0.750 0.625 0.375 Cd
0.625 0.750 0.875 Cd
0.218 0.718 0.718 Li
0.782 0.500 0.000 Li
0.500 0.282 0.500 Li
0.500 0.782 0.500 Li
0.000 0.000 0.282 Li
0.000 0.000 0.782 Li
0.282 0.500 0.000 Li
0.718 0.218 0.218 Li
0.125 0.750 0.375 Ag
0.750 0.125 0.875 Ag
0.250 0.375 0.625 Ag
0.625 0.875 0.250 Ag
0.375 0.250 0.125 Ag
0.875 0.625 0.750 Ag
```

Its crystal system is cubic. The density of states at the Fermi level comes out at 9.79 states/eV/cell. The uncorrected energy is -20.1 eV/f.u. The symmetry is I-43d, No. 220.


No. 3
# Li8Cd3Ag2

Crystalline Li8Cd3Ag2 at its relaxed geometry (PBE, the Alexandria database).

Structure (POSCAR):
```
Li8Cd3Ag2
1.0
4.743 0.096 1.307
1.787 6.910 0.623
0.122 0.186 7.161
Li Cd Ag
8 3 2
Direct
0.229 0.570 0.570 Li
0.343 0.413 0.925 Li
0.097 0.849 0.849 Li
0.343 0.925 0.413 Li
0.903 0.151 0.151 Li
0.657 0.587 0.075 Li
0.771 0.430 0.430 Li
0.657 0.075 0.587 Li
0.000 0.745 0.255 Cd
0.500 0.000 0.000 Cd
0.000 0.255 0.745 Cd
0.338 0.305 0.305 Ag
0.662 0.695 0.695 Ag
```

Its crystal system is monoclinic. The density of states at the Fermi level comes out at 4.85 states/eV/cell. The uncorrected energy is -26.0 eV/f.u. The energy above the most stable polymorph in this dataset comes out at 0.0 kJ/mol of atoms. The symmetry is C2/m, No. 12.


Number 1: ΔE_f -100 meV/atom. Number 2: ΔE_f -119 meV/atom. Number 3: ΔE_f -172 meV/atom.